(1)
A relaxed ScNiRh2 crystal, computed with PBE.

**Density**: 8.0 g cm⁻³
**Energy of formation from the pure elements**: -0.132 eV/atom
**Density of states at the Fermi level**: 10.99 states/eV per cell
**E**: -6.836 eV per atom

CIF file:
```
data_ScNiRh2
_chemical_formula_sum 'Sc2 Ni2 Rh4'
_space_group_name_H-M_alt 'P 1'
_space_group_IT_number 1
_cell_length_a 3.826
_cell_length_b 3.826
_cell_length_c 9.192
_cell_angle_alpha 77.99
_cell_angle_beta 77.99
_cell_angle_gamma 90.00
loop_
_space_group_symop_operation_xyz
'x,y,z'
loop_
_atom_site_label
_atom_site_type_symbol
_atom_site_fract_x
_atom_site_fract_y
_atom_site_fract_z
Sc1 Sc 0.500 0.500 0.000
Sc2 Sc 0.250 0.750 0.500
Rh1 Rh 0.875 0.906 0.750
Rh2 Rh 0.375 0.344 0.750
Rh3 Rh 0.656 0.125 0.250
Rh4 Rh 0.094 0.625 0.250
Ni1 Ni 0.750 0.250 0.500
Ni2 Ni 0.000 0.000 0.000
```

---

(2)
A relaxed ScNiRh2 crystal, computed with PBE.

**Density**: 8.6 g cm⁻³
**Energy of formation from the pure elements**: -0.328 eV/atom
**Density of states at the Fermi level**: 6.43 states/eV per cell
**E**: -7.032 eV per atom

CIF file:
```
data_ScNiRh2
_chemical_formula_sum 'Sc1 Ni1 Rh2'
_space_group_name_H-M_alt 'P 1'
_space_group_IT_number 1
_cell_length_a 4.385
_cell_length_b 4.385
_cell_length_c 4.385
_cell_angle_alpha 60.00
_cell_angle_beta 60.00
_cell_angle_gamma 60.00
loop_
_space_group_symop_operation_xyz
'x,y,z'
loop_
_atom_site_label
_atom_site_type_symbol
_atom_site_fract_x
_atom_site_fract_y
_atom_site_fract_z
Ni1 Ni 0.500 0.500 0.500
Rh1 Rh 0.250 0.250 0.250
Rh2 Rh 0.000 0.000 0.000
Sc1 Sc 0.750 0.750 0.750
```

---

(3)
A relaxed Sc4NiRh crystal, computed with PBE.

**Density**: 4.1 g cm⁻³
**Energy of formation from the pure elements**: -0.304 eV/atom
**Density of states at the Fermi level**: 9.80 states/eV per cell
**E**: -6.714 eV per atom

CIF file:
```
data_Sc4NiRh
_chemical_formula_sum 'Sc8 Ni2 Rh2'
_space_group_name_H-M_alt 'P 1'
_space_group_IT_number 1
_cell_length_a 7.157
_cell_length_b 7.157
_cell_length_c 7.157
_cell_angle_alpha 105.67
_cell_angle_beta 105.67
_cell_angle_gamma 117.37
loop_
_space_group_symop_operation_xyz
'x,y,z'
loop_
_atom_site_label
_atom_site_type_symbol
_atom_site_fract_x
_atom_site_fract_y
_atom_site_fract_z
Sc1 Sc 0.702 0.495 0.207
Sc2 Sc 0.204 0.005 0.200
Sc3 Sc 0.805 0.005 0.800
Sc4 Sc 0.288 0.495 0.793
Sc5 Sc 0.245 0.538 0.293
Sc6 Sc 0.245 0.952 0.707
Sc7 Sc 0.755 0.055 0.300
Sc8 Sc 0.755 0.454 0.700
Ni1 Ni 0.254 0.254 0.000
Ni2 Ni 0.004 0.504 0.500
Rh1 Rh 0.746 0.746 0.000
Rh2 Rh 0.496 0.996 0.500
```

---

(4)
A relaxed Sc6NiRh5 crystal, computed with PBE.

**Density**: 6.9 g cm⁻³
**Energy of formation from the pure elements**: -0.929 eV/atom
**Density of states at the Fermi level**: 6.58 states/eV per cell
**E**: -7.639 eV per atom

CIF file:
```
data_Sc6NiRh5
_chemical_formula_sum 'Sc6 Ni1 Rh5'
_space_group_name_H-M_alt 'P 1'
_space_group_IT_number 1
_cell_length_a 4.567
_cell_length_b 6.455
_cell_length_c 7.887
_cell_angle_alpha 114.16
_cell_angle_beta 106.57
_cell_angle_gamma 90.00
loop_
_space_group_symop_operation_xyz
'x,y,z'
loop_
_atom_site_label
_atom_site_type_symbol
_atom_site_fract_x
_atom_site_fract_y
_atom_site_fract_z
Rh1 Rh 0.333 0.833 0.667
Rh2 Rh 0.666 0.666 0.333
Rh3 Rh 0.667 0.167 0.333
Rh4 Rh 0.000 0.500 0.000
Rh5 Rh 0.334 0.334 0.667
Sc1 Sc 0.500 0.752 0.000
Sc2 Sc 0.834 0.083 0.669
Sc3 Sc 0.500 0.248 0.000
Sc4 Sc 0.166 0.415 0.331
Sc5 Sc 0.166 0.917 0.331
Sc6 Sc 0.834 0.585 0.669
Ni1 Ni 0.000 0.000 0.000
```

---

(5)
A relaxed Sc4NiRh2 crystal, computed with PBE.

**Density**: 5.7 g cm⁻³
**Energy of formation from the pure elements**: -0.716 eV/atom
**Density of states at the Fermi level**: 3.47 states/eV per cell
**E**: -7.260 eV per atom

CIF file:
```
data_Sc4NiRh2
_chemical_formula_sum 'Sc4 Ni1 Rh2'
_space_group_name_H-M_alt 'P 1'
_space_group_IT_number 1
_cell_length_a 4.520
_cell_length_b 4.520
_cell_length_c 7.827
_cell_angle_alpha 73.22
_cell_angle_beta 73.22
_cell_angle_gamma 60.00
loop_
_space_group_symop_operation_xyz
'x,y,z'
loop_
_atom_site_label
_atom_site_type_symbol
_atom_site_fract_x
_atom_site_fract_y
_atom_site_fract_z
Sc1 Sc 0.874 0.874 0.378
Sc2 Sc 0.377 0.377 0.870
Sc3 Sc 0.623 0.623 0.130
Sc4 Sc 0.126 0.126 0.622
Rh1 Rh 0.748 0.748 0.757
Rh2 Rh 0.252 0.252 0.243
Ni1 Ni 0.000 0.000 0.000
```

---

(6)
A relaxed Sc2NiRh crystal, computed with PBE.

**Density**: 6.5 g cm⁻³
**Energy of formation from the pure elements**: -0.361 eV/atom
**Density of states at the Fermi level**: 4.43 states/eV per cell
**E**: -6.810 eV per atom

CIF file:
```
data_Sc2NiRh
_chemical_formula_sum 'Sc2 Ni1 Rh1'
_space_group_name_H-M_alt 'P 1'
_space_group_IT_number 1
_cell_length_a 4.491
_cell_length_b 4.491
_cell_length_c 4.491
_cell_angle_alpha 60.00
_cell_angle_beta 60.00
_cell_angle_gamma 60.00
loop_
_space_group_symop_operation_xyz
'x,y,z'
loop_
_atom_site_label
_atom_site_type_symbol
_atom_site_fract_x
_atom_site_fract_y
_atom_site_fract_z
Sc1 Sc 0.750 0.750 0.750
Sc2 Sc 0.000 0.000 0.000
Rh1 Rh 0.250 0.250 0.250
Ni1 Ni 0.500 0.500 0.500
```

---

Look up the density of states at the Fermi level of the fifth one. 3.47 states/eV per cell

---

Among the records above, which one has the highest density? number 2